Record 1
DFT (PBE) results for a relaxed structure of YPtCl2.

Output
For the polymorph energy (0 for the lowest one), the calculation gives 0 meV per atom. The space group is Amm2, No. 38.

a = 3.938 Å, b = 5.321 Å, c = 5.326 Å
α = 59.43°, β = 90.00°, γ = 90.00°
Fractional positions:
Cl  0.500  0.274  0.274
Cl  0.000  0.974  0.975
Y  0.500  0.729  0.728
Pt  0.000  0.523  0.523

Record 2
DFT (PBE) results for a relaxed structure of YPt2Cl.

Output
For the polymorph energy (0 for the lowest one), the calculation gives 402 meV per atom. The space group is I-42d, No. 122.

a = 7.783 Å, b = 7.783 Å, c = 6.127 Å
α = 50.57°, β = 50.57°, γ = 90.00°
Fractional positions:
Y  0.000  0.000  0.000
Y  0.750  0.250  0.500
Pt  0.875  0.856  0.750
Pt  0.375  0.394  0.750
Pt  0.606  0.125  0.250
Pt  0.144  0.625  0.250
Cl  0.250  0.750  0.500
Cl  0.500  0.500  0.000

Record 3
DFT (PBE) results for a relaxed structure of Y3PtCl.

Output
For the polymorph energy (0 for the lowest one), the calculation gives 0 meV per atom. The space group is Pm-3m, No. 221.

a = 5.501 Å, b = 5.501 Å, c = 5.501 Å
α = 90.00°, β = 90.00°, γ = 90.00°
Fractional positions:
Y  0.000  0.500  0.000
Y  0.500  0.000  0.000
Y  0.000  0.000  0.500
Pt  0.000  0.000  0.000
Cl  0.500  0.500  0.500

Record 4
DFT (PBE) results for a relaxed structure of Y2PtCl.

Output
For the polymorph energy (0 for the lowest one), the calculation gives 505 meV per atom. The space group is R3m, No. 160.

a = 10.108 Å, b = 10.108 Å, c = 10.108 Å
α = 21.28°, β = 21.28°, γ = 21.28°
Fractional positions:
Y  0.239  0.239  0.239
Y  0.012  0.012  0.012
Cl  0.514  0.514  0.514
Pt  0.734  0.734  0.734

Taking the records one at a time from the top gives uncorrected energy values of -5.209; -5.665; -6.027; -6.042 eV per atom.